# 1
Computed, not measured: crystalline SrSb2P at its relaxed geometry at the PBE level of DFT.

abc: 4.161 4.161 6.283
angles: 90.00 90.00 90.00
Sites, in units of the cell vectors:
1 Sr 0.000 0.000 0.000
2 Sb 0.500 0.500 0.282
3 Sb 0.500 0.500 0.718
4 P 0.000 0.000 0.500

Summary:
Raw formation energy (eV per atom): -0.091
SG: P4/mmm

# 2
Computed, not measured: crystalline Sr3SbP at its relaxed geometry at the PBE level of DFT.

abc: 9.264 8.494 8.972
angles: 90.00 99.12 90.00
Sites, in units of the cell vectors:
1 Sr 0.051 0.000 0.219
2 Sr 0.051 0.500 0.719
3 Sr 0.262 0.116 0.580
4 Sr 0.262 0.384 0.080
5 Sr 0.368 0.704 0.482
6 Sr 0.368 0.796 0.982
7 Sr 0.632 0.204 0.018
8 Sr 0.632 0.296 0.518
9 Sr 0.738 0.616 0.920
10 Sr 0.738 0.884 0.420
11 Sr 0.949 0.000 0.781
12 Sr 0.949 0.500 0.281
13 Sb 0.412 0.065 0.265
14 Sb 0.412 0.435 0.765
15 Sb 0.588 0.565 0.235
16 Sb 0.588 0.935 0.735
17 P 0.058 0.718 0.008
18 P 0.058 0.782 0.508
19 P 0.942 0.218 0.492
20 P 0.942 0.282 0.992

Summary:
Raw formation energy (eV per atom): -1.019
SG: P2_1/c
Relative energy among the computed polymorphs (meV per atom): 0.0

# 3
Computed, not measured: crystalline SrSbP at its relaxed geometry at the PBE level of DFT.

abc: 5.452 5.452 6.485
angles: 90.00 90.00 120.00
Sites, in units of the cell vectors:
1 Sr 0.333 0.667 0.250
2 Sr 0.667 0.333 0.750
3 Sb 0.333 0.667 0.750
4 Sb 0.667 0.333 0.250
5 P 0.000 0.000 0.000
6 P 0.000 0.000 0.500

Summary:
Raw formation energy (eV per atom): -0.009
SG: P6_3/mmc
Relative energy among the computed polymorphs (meV per atom): 475.5

# 4
Computed, not measured: crystalline SrSb2P at its relaxed geometry at the PBE level of DFT.

abc: 4.902 4.902 8.890
angles: 90.00 90.00 90.00
Sites, in units of the cell vectors:
1 Sr 0.000 0.000 0.000
2 Sr 0.500 0.500 0.500
3 Sb 0.000 0.000 0.500
4 Sb 0.000 0.500 0.250
5 Sb 0.500 0.000 0.750
6 Sb 0.500 0.500 0.000
7 P 0.000 0.500 0.750
8 P 0.500 0.000 0.250

Summary:
Raw formation energy (eV per atom): -0.138
SG: I-4m2

# 5
Computed, not measured: crystalline SrSb2P at its relaxed geometry at the PBE level of DFT.

abc: 5.322 4.009 6.027
angles: 90.00 114.33 90.00
Sites, in units of the cell vectors:
1 Sr 0.000 0.000 0.000
2 Sb 0.332 0.500 0.734
3 Sb 0.668 0.500 0.266
4 P 0.500 0.000 0.500

Summary:
Raw formation energy (eV per atom): -0.313
SG: P2/m

# 6
Computed, not measured: crystalline SrSbP2 at its relaxed geometry at the PBE level of DFT.

abc: 3.762 4.114 6.187
angles: 90.00 90.00 90.00
Sites, in units of the cell vectors:
1 Sr 0.000 0.000 0.000
2 Sb 0.000 0.000 0.500
3 P 0.500 0.500 0.314
4 P 0.500 0.500 0.686

Summary:
Raw formation energy (eV per atom): -0.133
SG: Pmmm

# 7
Computed, not measured: crystalline SrSb2P at its relaxed geometry at the PBE level of DFT.

abc: 6.244 6.252 11.539
angles: 90.00 90.00 90.00
Sites, in units of the cell vectors:
1 Sr 0.000 0.000 0.000
2 Sr 0.000 0.500 0.500
3 Sr 0.500 0.000 0.500
4 Sr 0.500 0.500 0.000
5 Sb 0.250 0.000 0.250
6 Sb 0.250 0.000 0.750
7 Sb 0.250 0.500 0.250
8 Sb 0.250 0.500 0.750
9 Sb 0.750 0.000 0.250
10 Sb 0.750 0.000 0.750
11 Sb 0.750 0.500 0.250
12 Sb 0.750 0.500 0.750
13 P 0.000 0.000 0.500
14 P 0.000 0.500 0.000
15 P 0.500 0.000 0.000
16 P 0.500 0.500 0.500

Summary:
Raw formation energy (eV per atom): -0.292
SG: Fmmm

# 8
Computed, not measured: crystalline Sr4Sb2P at its relaxed geometry at the PBE level of DFT.

abc: 7.101 7.299 10.224
angles: 90.00 109.50 90.00
Sites, in units of the cell vectors:
1 Sr 0.030 0.006 0.258
2 Sr 0.030 0.494 0.258
3 Sr 0.390 0.250 0.064
4 Sr 0.441 0.250 0.640
5 Sr 0.559 0.750 0.360
6 Sr 0.610 0.750 0.936
7 Sr 0.970 0.506 0.742
8 Sr 0.970 0.994 0.742
9 Sb 0.207 0.750 0.041
10 Sb 0.229 0.750 0.562
11 Sb 0.771 0.250 0.438
12 Sb 0.793 0.250 0.959
13 P 0.380 0.250 0.344
14 P 0.620 0.750 0.656

Summary:
Raw formation energy (eV per atom): -0.843
SG: P2_1/m

# 9
Computed, not measured: crystalline Sr2SbP at its relaxed geometry at the PBE level of DFT.

abc: 7.837 7.837 7.837
angles: 90.00 90.00 90.00
Sites, in units of the cell vectors:
1 Sr 0.250 0.250 0.250
2 Sr 0.250 0.250 0.750
3 Sr 0.250 0.750 0.250
4 Sr 0.250 0.750 0.750
5 Sr 0.750 0.250 0.250
6 Sr 0.750 0.250 0.750
7 Sr 0.750 0.750 0.250
8 Sr 0.750 0.750 0.750
9 Sb 0.000 0.000 0.000
10 Sb 0.000 0.500 0.500
11 Sb 0.500 0.000 0.500
12 Sb 0.500 0.500 0.000
13 P 0.000 0.000 0.500
14 P 0.000 0.500 0.000
15 P 0.500 0.000 0.000
16 P 0.500 0.500 0.500

Summary:
Raw formation energy (eV per atom): -0.682
SG: Fm-3m
Relative energy among the computed polymorphs (meV per atom): 178.8

# 10
Computed, not measured: crystalline SrSbP2 at its relaxed geometry at the PBE level of DFT.

abc: 4.455 4.964 4.715
angles: 90.00 94.33 90.00
Sites, in units of the cell vectors:
1 Sr 0.000 0.000 0.000
2 Sb 0.683 0.500 0.376
3 P 0.198 0.500 0.671
4 P 0.460 0.000 0.535

Summary:
Raw formation energy (eV per atom): -0.298
SG: Pm

# 11
Computed, not measured: crystalline SrSbP at its relaxed geometry at the PBE level of DFT.

abc: 4.722 4.722 8.853
angles: 90.00 90.00 120.00
Sites, in units of the cell vectors:
1 Sr 0.000 0.000 0.000
2 Sr 0.000 0.000 0.500
3 Sb 0.333 0.667 0.250
4 Sb 0.667 0.333 0.750
5 P 0.333 0.667 0.750
6 P 0.667 0.333 0.250

Summary:
Raw formation energy (eV per atom): -0.481
SG: P6_3/mmc
Relative energy among the computed polymorphs (meV per atom): 3.0

# 12
Computed, not measured: crystalline Sr2SbP at its relaxed geometry at the PBE level of DFT.

abc: 7.730 7.730 7.730
angles: 90.00 90.00 90.00
Sites, in units of the cell vectors:
1 Sr 0.000 0.000 0.000
2 Sr 0.000 0.500 0.500
3 Sr 0.250 0.250 0.250
4 Sr 0.250 0.750 0.750
5 Sr 0.500 0.000 0.500
6 Sr 0.500 0.500 0.000
7 Sr 0.750 0.250 0.750
8 Sr 0.750 0.750 0.250
9 Sb 0.250 0.250 0.750
10 Sb 0.250 0.750 0.250
11 Sb 0.750 0.250 0.250
12 Sb 0.750 0.750 0.750
13 P 0.000 0.000 0.500
14 P 0.000 0.500 0.000
15 P 0.500 0.000 0.000
16 P 0.500 0.500 0.500

Summary:
Raw formation energy (eV per atom): -0.163
SG: F-43m
Relative energy among the computed polymorphs (meV per atom): 698.0

# 13
Computed, not measured: crystalline SrSb2P at its relaxed geometry at the PBE level of DFT.

abc: 7.979 7.979 7.937
angles: 90.00 90.00 90.00
Sites, in units of the cell vectors:
1 Sr 0.000 0.000 0.000
2 Sr 0.000 0.500 0.250
3 Sr 0.500 0.000 0.750
4 Sr 0.500 0.500 0.500
5 Sb 0.170 0.250 0.625
6 Sb 0.250 0.670 0.875
7 Sb 0.250 0.830 0.375
8 Sb 0.330 0.250 0.125
9 Sb 0.670 0.750 0.125
10 Sb 0.750 0.170 0.375
11 Sb 0.750 0.330 0.875
12 Sb 0.830 0.750 0.625
13 P 0.000 0.000 0.500
14 P 0.000 0.500 0.750
15 P 0.500 0.000 0.250
16 P 0.500 0.500 0.000

Summary:
Raw formation energy (eV per atom): -0.197
SG: I-42d

# 14
Computed, not measured: crystalline Sr2SbP at its relaxed geometry at the PBE level of DFT.

abc: 4.551 4.551 11.587
angles: 90.00 90.00 90.00
Sites, in units of the cell vectors:
1 Sr 0.000 0.000 0.000
2 Sr 0.000 0.500 0.250
3 Sr 0.500 0.000 0.750
4 Sr 0.500 0.500 0.500
5 Sb 0.000 0.000 0.500
6 Sb 0.500 0.500 0.000
7 P 0.000 0.500 0.750
8 P 0.500 0.000 0.250

Summary:
Raw formation energy (eV per atom): -0.630
SG: I-4m2
Relative energy among the computed polymorphs (meV per atom): 230.5

# 15
Computed, not measured: crystalline Sr2Sb2P at its relaxed geometry at the PBE level of DFT.

abc: 7.898 7.898 4.861
angles: 90.00 90.00 90.00
Sites, in units of the cell vectors:
1 Sr 0.173 0.327 0.000
2 Sr 0.327 0.827 0.000
3 Sr 0.673 0.173 0.000
4 Sr 0.827 0.673 0.000
5 Sb 0.136 0.636 0.500
6 Sb 0.364 0.136 0.500
7 Sb 0.636 0.864 0.500
8 Sb 0.864 0.364 0.500
9 P 0.000 0.000 0.500
10 P 0.500 0.500 0.500

Summary:
Raw formation energy (eV per atom): -0.537
SG: P4/mbm

# 16
Computed, not measured: crystalline SrSbP at its relaxed geometry at the PBE level of DFT.

abc: 4.729 4.729 4.397
angles: 90.00 90.00 120.00
Sites, in units of the cell vectors:
1 Sr 0.000 0.000 0.000
2 Sb 0.667 0.333 0.500
3 P 0.333 0.667 0.500

Summary:
Raw formation energy (eV per atom): -0.484
SG: P-6m2
Relative energy among the computed polymorphs (meV per atom): 0.0

# 17
Computed, not measured: crystalline Sr2SbP at its relaxed geometry at the PBE level of DFT.

abc: 3.713 5.369 6.525
angles: 90.00 90.00 90.00
Sites, in units of the cell vectors:
1 Sr 0.000 0.000 0.000
2 Sr 0.500 0.500 0.500
3 Sb 0.000 0.000 0.500
4 P 0.500 0.500 0.000

Summary:
Raw formation energy (eV per atom): -0.662
SG: Pmmm
Relative energy among the computed polymorphs (meV per atom): 198.8

# 18
Computed, not measured: crystalline SrSbP2 at its relaxed geometry at the PBE level of DFT.

abc: 6.789 6.801 3.936
angles: 90.00 90.00 90.00
Sites, in units of the cell vectors:
1 Sr 0.000 0.000 0.000
2 Sr 0.500 0.500 0.000
3 Sb 0.000 0.500 0.000
4 Sb 0.500 0.000 0.000
5 P 0.250 0.250 0.500
6 P 0.250 0.750 0.500
7 P 0.750 0.250 0.500
8 P 0.750 0.750 0.500

Summary:
Raw formation energy (eV per atom): -0.169
SG: Cmmm

# 19
Computed, not measured: crystalline Sr2SbP at its relaxed geometry at the PBE level of DFT.

abc: 7.803 3.844 8.939
angles: 90.00 102.64 90.00
Sites, in units of the cell vectors:
1 Sr 0.240 0.000 0.209
2 Sr 0.260 0.500 0.791
3 Sr 0.740 0.500 0.209
4 Sr 0.760 0.000 0.791
5 Sb 0.000 0.000 0.500
6 Sb 0.500 0.500 0.500
7 P 0.000 0.500 0.000
8 P 0.500 0.000 0.000

Summary:
Raw formation energy (eV per atom): -0.773
SG: C2/m
Relative energy among the computed polymorphs (meV per atom): 87.7

# 20
Computed, not measured: crystalline SrSb2TeP at its relaxed geometry at the PBE level of DFT.

abc: 5.243 5.243 5.565
angles: 90.00 90.00 90.00
Sites, in units of the cell vectors:
1 Sr 0.000 0.000 0.000
2 Sb 0.000 0.500 0.500
3 Sb 0.500 0.000 0.500
4 Te 0.500 0.500 0.000
5 P 0.500 0.500 0.500

Summary:
Raw formation energy (eV per atom): -0.115
SG: P4/mmm
Relative energy among the computed polymorphs (meV per atom): 0.0

# 21
Computed, not measured: crystalline SrSb2TeP at its relaxed geometry at the PBE level of DFT.

abc: 6.181 6.181 6.023
angles: 90.00 90.00 90.00
Sites, in units of the cell vectors:
1 Sr 0.000 0.000 0.000
2 Sb 0.000 0.500 0.000
3 Sb 0.500 0.000 0.000
4 Te 0.000 0.000 0.500
5 P 0.500 0.500 0.500

Summary:
Raw formation energy (eV per atom): 1.123
SG: P4/mmm
Relative energy among the computed polymorphs (meV per atom): 1238.4

# 22
Computed, not measured: crystalline SrZnSbP2 at its relaxed geometry at the PBE level of DFT.

abc: 5.154 5.154 6.138
angles: 90.00 90.00 90.00
Sites, in units of the cell vectors:
1 Sr 0.000 0.000 0.000
2 Zn 0.500 0.500 0.000
3 Sb 0.000 0.000 0.500
4 P 0.000 0.500 0.500
5 P 0.500 0.000 0.500

Summary:
Raw formation energy (eV per atom): 0.547
SG: P4/mmm

# 23
Computed, not measured: crystalline Ta3SbP at its relaxed geometry at the PBE level of DFT.

abc: 4.635 4.635 4.635
angles: 90.00 90.00 90.00
Sites, in units of the cell vectors:
1 Ta 0.000 0.000 0.500
2 Ta 0.000 0.500 0.000
3 Ta 0.500 0.000 0.000
4 Sb 0.500 0.500 0.500
5 P 0.000 0.000 0.000

Summary:
Raw formation energy (eV per atom): 0.392
SG: Pm-3m
Relative energy among the computed polymorphs (meV per atom): 0.0

# 24
Computed, not measured: crystalline TaSbP4 at its relaxed geometry at the PBE level of DFT.

abc: 5.194 5.194 5.194
angles: 60.00 60.00 60.00
Sites, in units of the cell vectors:
1 Ta 0.000 0.000 0.000
2 Sb 0.250 0.250 0.250
3 P 0.114 0.629 0.629
4 P 0.629 0.114 0.629
5 P 0.629 0.629 0.114
6 P 0.629 0.629 0.629

Summary:
Raw formation energy (eV per atom): 0.651
SG: F-43m

# 25
Computed, not measured: crystalline Ta2SbP2 at its relaxed geometry at the PBE level of DFT.

abc: 7.426 7.426 3.173
angles: 90.00 90.00 90.00
Sites, in units of the cell vectors:
1 Ta 0.144 0.356 0.000
2 Ta 0.356 0.856 0.000
3 Ta 0.644 0.144 0.000
4 Ta 0.856 0.644 0.000
5 Sb 0.000 0.000 0.000
6 Sb 0.500 0.500 0.000
7 P 0.135 0.635 0.500
8 P 0.365 0.135 0.500
9 P 0.635 0.865 0.500
10 P 0.865 0.365 0.500

Summary:
Raw formation energy (eV per atom): -0.355
SG: P4/mbm
Relative energy among the computed polymorphs (meV per atom): 0.0

# 26
Computed, not measured: crystalline Ta2SbP2 at its relaxed geometry at the PBE level of DFT.

abc: 3.614 3.614 13.392
angles: 90.00 90.00 90.00
Sites, in units of the cell vectors:
1 Ta 0.000 0.000 0.116
2 Ta 0.000 0.000 0.884
3 Ta 0.500 0.500 0.384
4 Ta 0.500 0.500 0.616
5 Sb 0.000 0.000 0.500
6 Sb 0.500 0.500 0.000
7 P 0.000 0.500 0.250
8 P 0.000 0.500 0.750
9 P 0.500 0.000 0.250
10 P 0.500 0.000 0.750

Summary:
Raw formation energy (eV per atom): -0.210
SG: I4/mmm
Relative energy among the computed polymorphs (meV per atom): 144.8

# 27
Computed, not measured: crystalline Ta4SbP at its relaxed geometry at the PBE level of DFT.

abc: 5.509 5.509 5.509
angles: 60.00 60.00 60.00
Sites, in units of the cell vectors:
1 Ta 0.125 0.125 0.125
2 Ta 0.125 0.125 0.625
3 Ta 0.125 0.625 0.125
4 Ta 0.625 0.125 0.125
5 Sb 0.500 0.500 0.500
6 P 0.750 0.750 0.750

Summary:
Raw formation energy (eV per atom): 0.562
SG: F-43m